1.
VASP calculation (PBE) on Mg8Cu after structural relaxation.

Lattice parameters (Å, degrees): 11.013 11.013 3.176 90.00 90.00 90.00
Space group I4/mmm (No. 139)
One atom of each set of equivalent atoms:
Mg: 0.000 0.334 0.000 [8 per cell]
Mg: 0.150 0.150 0.500 [8 per cell]
Cu: 0.000 0.000 0.000 [2 per cell]

Total energy in hartree per atom: -0.068
Crystal system: tetragonal

2.
VASP calculation (PBE) on Zr2AsS after structural relaxation.

Lattice parameters (Å, degrees): 3.6410 3.6410 20.3265 90.00 90.00 120.00
Space group R3m (No. 160, hexagonal axes)
One atom of each set of equivalent atoms:
Zr: 0.0000 0.0000 0.0000 [3 per cell]
Zr: 0.0000 0.0000 0.1668 [3 per cell]
As: 0.0000 0.0000 0.5836 [3 per cell]
S: 0.0000 0.0000 0.7506 [3 per cell]

ΔE to the lowest computed polymorph in meV per atom: 0.0
Total energy in hartree per atom: -0.283
Crystal system: trigonal

D(E_F): 0.364; 0.783 (states/eV per atom)